[1]
Compound: Ca2BeIr
Source: Alexandria via LeMat-Bulk
Functional: PBE
Structure: relaxed

Its crystal system is orthorhombic. The volume is 22.75 A^3/atom. The density of states at the Fermi level comes out at 5.0 states/eV per cell. The calculation puts the energy at -35.50 eV for the cell shown. The calculation puts the formation energy at -0.290 eV/atom.

The structure belongs to space group Amm2 (No. 38); the cell edges are 3.949, 4.384 and 10.515 Å and the angles 90.00°, 90.00° and 90.00°. Symmetry generates all atoms from Ca at (0.000, 0.000, 0.000), Ca at (0.500, 0.000, 0.284), Be at (0.500, 0.000, 0.599) and Ir at (0.000, 0.000, 0.691).

[2]
Compound: Ca2BeIr
Source: Alexandria via LeMat-Bulk
Functional: PBE
Structure: relaxed

Its crystal system is monoclinic. The volume is 22.14 A^3/atom. The density of states at the Fermi level comes out at 3.7 states/eV per cell. The calculation puts the energy at -14.79 eV for the cell shown. The calculation puts the formation energy at 0.450 eV/atom.

The structure belongs to space group P2/m (No. 10); the cell edges are 4.977, 3.144 and 5.706 Å and the angles 90.00°, 97.15° and 90.00°. Symmetry generates all atoms from Ca at (0.000, 0.000, 0.000), Ca at (0.500, 0.500, 0.500), Be at (0.000, 0.000, 0.500) and Ir at (0.500, 0.500, 0.000).

[3]
Compound: CaBeIr2
Source: Alexandria via LeMat-Bulk
Functional: PBE
Structure: relaxed

Its crystal system is orthorhombic. The volume is 15.55 A^3/atom. The density of states at the Fermi level comes out at 5.8 states/eV per cell. The calculation puts the energy at -45.28 eV for the cell shown. The calculation puts the formation energy at 0.203 eV/atom.

The structure belongs to space group Cmmm (No. 65); the cell edges are 5.618, 7.720 and 2.868 Å and the angles 90.00°, 90.00° and 90.00°. Symmetry generates all atoms from Ca at (0.000, 0.000, 0.000), Be at (0.000, 0.500, 0.000) and Ir at (0.250, 0.250, 0.500).

[4]
Compound: CaBeIr2
Source: Alexandria via LeMat-Bulk
Functional: PBE
Structure: relaxed

Its crystal system is monoclinic. The volume is 15.88 A^3/atom. The density of states at the Fermi level comes out at 0.7 states/eV per cell. The calculation puts the energy at -24.00 eV for the cell shown. The calculation puts the formation energy at -0.136 eV/atom.

The structure belongs to space group P2/m (No. 10); the cell edges are 2.892, 3.881 and 5.830 Å and the angles 90.00°, 103.77° and 90.00°. Symmetry generates all atoms from Ca at (0.000, 0.000, 0.000), Be at (0.500, 0.000, 0.500) and Ir at (0.335, 0.500, 0.694).

[5]
Compound: CaBeIr
Source: Alexandria via LeMat-Bulk
Functional: PBE
Structure: relaxed

Its crystal system is hexagonal. The value obtained for the energy above the lowest structure with this stoichiometry is 0.0 meV per atom. The volume is 18.29 A^3/atom. The density of states at the Fermi level comes out at 0.8 states/eV per cell. The calculation puts the energy at -15.63 eV for the cell shown. The calculation puts the formation energy at -0.345 eV/atom.

The structure belongs to space group P-6m2 (No. 187); the cell edges are 3.8609, 3.8609 and 4.2512 Å and the angles 90.00°, 90.00° and 120.00°. Symmetry generates all atoms from Ca at (0.0000, 0.0000, 0.0000), Be at (0.6667, 0.3333, 0.5000) and Ir at (0.3333, 0.6667, 0.5000).

[6]
Compound: CaBeIr2
Source: Alexandria via LeMat-Bulk
Functional: PBE
Structure: relaxed

Its crystal system is tetragonal. The volume is 15.61 A^3/atom. The density of states at the Fermi level comes out at 5.6 states/eV per cell. The calculation puts the energy at -45.50 eV for the cell shown. The calculation puts the formation energy at 0.175 eV/atom.

The structure belongs to space group I4/mmm (No. 139); the cell edges are 4.018, 4.018 and 7.736 Å and the angles 90.00°, 90.00° and 90.00°. Symmetry generates all atoms from Ca at (0.000, 0.000, 0.000), Be at (0.000, 0.000, 0.500) and Ir at (0.000, 0.500, 0.250).